[1]
Compound: Zr2CdCl
Source: Alexandria via LeMat-Bulk
Functional: GGA-PBEsol
Structure: relaxed

```
data_Zr2CdCl
_chemical_formula_sum 'Zr4 Cd2 Cl2'
_cell_length_a 6.870
_cell_length_b 7.524
_cell_length_c 3.098
_cell_angle_alpha 90.00
_cell_angle_beta 100.44
_cell_angle_gamma 90.00
_symmetry_space_group_name_H-M 'C 1 2/m 1'
_symmetry_Int_Tables_number 12
loop_
_symmetry_equiv_pos_as_xyz
'x,y,z'
'-x,-y,-z'
'-x,y,-z'
'x,-y,z'
'x+1/2,y+1/2,z'
'-x+1/2,-y+1/2,-z'
'-x+1/2,y+1/2,-z'
'x+1/2,-y+1/2,z'
loop_
_atom_site_label
_atom_site_type_symbol
_atom_site_fract_x
_atom_site_fract_y
_atom_site_fract_z
Zr1 Zr 0.250 0.250 0.000
Cd1 Cd 0.000 0.000 0.500
Cl1 Cl 0.000 0.500 0.500
```

E_form (uncorrected) = -194 meV/atom
Crystal system = monoclinic
Total magnetization = 0.000 μB/f.u.
E above lowest polymorph = 4.78 kcal/mol of atoms


[2]
Compound: ZrZn2Au
Source: Alexandria via LeMat-Bulk
Functional: GGA-PBEsol
Structure: relaxed

```
data_ZrZn2Au
_chemical_formula_sum 'Zr1 Zn2 Au1'
_cell_length_a 4.040
_cell_length_b 4.040
_cell_length_c 4.117
_cell_angle_alpha 90.00
_cell_angle_beta 90.00
_cell_angle_gamma 90.00
_symmetry_space_group_name_H-M 'P 4/m m m'
_symmetry_Int_Tables_number 123
_symmetry_space_group_name_Hall '-P 4 2'
loop_
_atom_site_label
_atom_site_type_symbol
_atom_site_fract_x
_atom_site_fract_y
_atom_site_fract_z
Zr1 Zr 0.000 0.000 0.000
Zn1 Zn 0.000 0.500 0.500
Au1 Au 0.500 0.500 0.000
```

Crystal system = tetragonal
Total DFT energy (no corrections) = -4.352 eV/atom
Total magnetization = 0.000 μB/f.u.


[3]
Compound: In2Sn2Te
Source: Alexandria via LeMat-Bulk
Functional: GGA-PBEsol
Structure: relaxed

```
data_In2Sn2Te
_chemical_formula_sum 'In4 Sn4 Te2'
_cell_length_a 4.207
_cell_length_b 4.207
_cell_length_c 15.701
_cell_angle_alpha 90.00
_cell_angle_beta 90.00
_cell_angle_gamma 90.00
_symmetry_space_group_name_H-M 'I 4/m m m'
_symmetry_Int_Tables_number 139
_symmetry_space_group_name_Hall '-I 4 2'
loop_
_atom_site_label
_atom_site_type_symbol
_atom_site_fract_x
_atom_site_fract_y
_atom_site_fract_z
In1 In 0.000 0.500 0.250
Sn1 Sn 0.000 0.000 0.096
Te1 Te 0.000 0.000 0.500
```

E_form (uncorrected) = 49 meV/atom
Crystal system = tetragonal
Total magnetization = 0.000 μB/f.u.


Q: Which value of total magnetization does entry 2 give?
A: 0.000 μB/f.u.